# Rb2GaBi

A geometry-optimized Rb2GaBi structure (PBE, the Alexandria database).

abc: 6.133 6.133 6.133
angles: 60.00 60.00 60.00
Atoms (fractional coordinates):
Rb (0.250, 0.250, 0.250)
Rb (0.750, 0.750, 0.750)
Ga (0.000, 0.000, 0.000)
Bi (0.500, 0.500, 0.500)

---

# Rb2GaBi2

A geometry-optimized Rb2GaBi2 structure (PBE, the Alexandria database).

abc: 21.707 21.707 21.707
angles: 167.59 167.59 17.58
Atoms (fractional coordinates):
Rb (0.051, 0.301, 0.750)
Rb (0.301, 0.051, 0.250)
Rb (0.699, 0.949, 0.750)
Rb (0.949, 0.699, 0.250)
Ga (0.125, 0.875, 0.250)
Ga (0.875, 0.125, 0.750)
Bi (0.163, 0.413, 0.750)
Bi (0.413, 0.163, 0.250)
Bi (0.587, 0.837, 0.750)
Bi (0.837, 0.587, 0.250)

---

# Rb3Ga2Bi2

A geometry-optimized Rb3Ga2Bi2 structure (PBE, the Alexandria database).

abc: 11.308 11.308 11.308
angles: 156.52 149.82 38.59
Atoms (fractional coordinates):
Rb (0.000, 0.000, 0.000)
Rb (0.182, 0.682, 0.500)
Rb (0.818, 0.318, 0.500)
Ga (0.442, 0.442, 0.000)
Ga (0.558, 0.558, 0.000)
Bi (0.369, 0.869, 0.500)
Bi (0.631, 0.131, 0.500)

---

# RbGaBi2

A geometry-optimized RbGaBi2 structure (PBE, the Alexandria database).

abc: 4.137 4.137 7.946
angles: 90.00 90.00 90.00
Atoms (fractional coordinates):
Rb (0.000, 0.000, 0.000)
Ga (0.000, 0.000, 0.500)
Bi (0.500, 0.500, 0.314)
Bi (0.500, 0.500, 0.686)

---

# Rb2GaBi

A geometry-optimized Rb2GaBi structure (PBE, the Alexandria database).

abc: 7.356 7.356 6.389
angles: 90.00 90.00 77.31
Atoms (fractional coordinates):
Rb (0.018, 0.327, 0.250)
Rb (0.327, 0.018, 0.750)
Rb (0.673, 0.982, 0.250)
Rb (0.982, 0.673, 0.750)
Ga (0.500, 0.500, 0.000)
Ga (0.500, 0.500, 0.500)
Bi (0.215, 0.785, 0.250)
Bi (0.785, 0.215, 0.750)

---

# Rb6GaBi4

A geometry-optimized Rb6GaBi4 structure (PBE, the Alexandria database).

abc: 12.144 12.144 8.508
angles: 90.00 90.00 120.00
Atoms (fractional coordinates):
Rb (0.041, 0.521, 0.000)
Rb (0.146, 0.291, 0.277)
Rb (0.146, 0.854, 0.277)
Rb (0.291, 0.146, 0.777)
Rb (0.479, 0.521, 0.000)
Rb (0.479, 0.959, 0.000)
Rb (0.521, 0.041, 0.500)
Rb (0.521, 0.479, 0.500)
Rb (0.709, 0.854, 0.277)
Rb (0.854, 0.146, 0.777)
Rb (0.854, 0.709, 0.777)
Rb (0.959, 0.479, 0.500)
Ga (0.333, 0.667, 0.692)
Ga (0.667, 0.333, 0.192)
Bi (0.201, 0.401, 0.704)
Bi (0.201, 0.799, 0.704)
Bi (0.333, 0.667, 0.355)
Bi (0.401, 0.201, 0.204)
Bi (0.599, 0.799, 0.704)
Bi (0.667, 0.333, 0.855)
Bi (0.799, 0.201, 0.204)
Bi (0.799, 0.599, 0.204)

---

# RbGaBi3

A geometry-optimized RbGaBi3 structure (PBE, the Alexandria database).

abc: 6.192 6.192 6.192
angles: 90.00 90.00 90.00
Atoms (fractional coordinates):
Rb (0.000, 0.000, 0.000)
Ga (0.500, 0.500, 0.500)
Bi (0.000, 0.000, 0.500)
Bi (0.000, 0.500, 0.000)
Bi (0.500, 0.000, 0.000)

---

# Rb2GaBi2

A geometry-optimized Rb2GaBi2 structure (PBE, the Alexandria database).

abc: 9.344 9.344 9.344
angles: 130.19 70.37 133.68
Atoms (fractional coordinates):
Rb (0.141, 0.182, 0.322)
Rb (0.359, 0.682, 0.041)
Rb (0.641, 0.318, 0.959)
Rb (0.859, 0.818, 0.678)
Ga (0.250, 0.750, 0.500)
Ga (0.750, 0.250, 0.500)
Bi (0.104, 0.683, 0.787)
Bi (0.396, 0.183, 0.579)
Bi (0.604, 0.817, 0.421)
Bi (0.896, 0.317, 0.213)

---

# RbGa3Bi

A geometry-optimized RbGa3Bi structure (PBE, the Alexandria database).

abc: 5.800 5.800 5.800
angles: 90.00 90.00 90.00
Atoms (fractional coordinates):
Rb (0.000, 0.000, 0.000)
Ga (0.000, 0.000, 0.500)
Ga (0.000, 0.500, 0.000)
Ga (0.500, 0.000, 0.000)
Bi (0.500, 0.500, 0.500)

---

# RbGaBi2

A geometry-optimized RbGaBi2 structure (PBE, the Alexandria database).

abc: 10.167 10.167 10.167
angles: 22.60 22.60 22.60
Atoms (fractional coordinates):
Rb (0.000, 0.000, 0.000)
Ga (0.834, 0.834, 0.834)
Bi (0.230, 0.230, 0.230)
Bi (0.438, 0.438, 0.438)

---

# Rb2GaBi2

A geometry-optimized Rb2GaBi2 structure (PBE, the Alexandria database).

abc: 8.042 8.042 6.096
angles: 90.00 90.00 90.00
Atoms (fractional coordinates):
Rb (0.168, 0.332, 0.000)
Rb (0.332, 0.832, 0.000)
Rb (0.668, 0.168, 0.000)
Rb (0.832, 0.668, 0.000)
Ga (0.000, 0.000, 0.500)
Ga (0.500, 0.500, 0.500)
Bi (0.140, 0.640, 0.500)
Bi (0.360, 0.140, 0.500)
Bi (0.640, 0.860, 0.500)
Bi (0.860, 0.360, 0.500)

---

# RbGaBi4

A geometry-optimized RbGaBi4 structure (PBE, the Alexandria database).

abc: 6.723 6.723 6.723
angles: 60.00 60.00 60.00
Atoms (fractional coordinates):
Rb (0.000, 0.000, 0.000)
Ga (0.250, 0.250, 0.250)
Bi (0.129, 0.624, 0.624)
Bi (0.624, 0.129, 0.624)
Bi (0.624, 0.624, 0.129)
Bi (0.624, 0.624, 0.624)

---

| no. | total energy (eV per atom) |
| --- | --- |
| 1 | -2.2096 |
| 2 | -2.6632 |
| 3 | -2.6854 |
| 4 | -2.9775 |
| 5 | -2.3280 |
| 6 | -2.4589 |
| 7 | -1.9326 |
| 8 | -2.7787 |
| 9 | -1.7463 |
| 10 | -2.9472 |
| 11 | -2.7427 |
| 12 | -3.2344 |